NbTe2CBr | Alexandria | meta-GGA SCAN | single point on PBEsol structure; energy = -130.8 eV/cell
1.0
5.352 0.000 0.000
0.000 5.352 0.000
0.000 0.000 5.012
Nb Te C Br
1 2 1 1
Direct
0.000 0.000 0.000
0.000 0.500 0.000
0.500 0.000 0.000
0.500 0.500 0.500
0.000 0.000 0.500